The following is a PBE calculation of a relaxed structure of SrPaRuN4, from the Alexandria database.

## Properties
**M_tot**: 0.001 μB/f.u.
**V**: 223.9 Å³/cell
**E_form (uncorrected)**: -0.57 eV/atom

```
data_SrPaRuN4
_chemical_formula_sum 'Sr2 Pa2 Ru2 N8'
_cell_length_a 5.9951
_cell_length_b 5.5384
_cell_length_c 7.0825
_cell_angle_alpha 90.00
_cell_angle_beta 107.77
_cell_angle_gamma 90.00
_symmetry_space_group_name_H-M 'P 1'
_symmetry_Int_Tables_number 1
loop_
_symmetry_equiv_pos_as_xyz
'x,y,z'
loop_
_atom_site_label
_atom_site_fract_x
_atom_site_fract_y
_atom_site_fract_z
_atom_site_occupancy
Sr1 0.2923 0.2500 0.0655 1
Sr2 0.7077 0.7500 0.9345 1
N1 0.4531 0.7500 0.1701 1
N2 0.9965 0.4901 0.7027 1
N3 0.0035 0.9901 0.2973 1
N4 0.9965 0.0099 0.7027 1
N5 0.0035 0.5099 0.2973 1
N6 0.5469 0.2500 0.8299 1
N7 0.5335 0.2500 0.4321 1
N8 0.4665 0.7500 0.5679 1
Pa1 0.2138 0.2500 0.5439 1
Pa2 0.7862 0.7500 0.4561 1
Ru1 0.7560 0.2500 0.6820 1
Ru2 0.2440 0.7500 0.3180 1
```